Below is a relaxed CsFeCu2F8 crystal, with properties calculated at the GGA+U level.

## Properties
Total moment = 7.00 μB per cell
Symmetry = R-3 (148)
ρ = 3.92 g cm⁻³
Raw total energy = -4.434 eV per atom

a b c (Å): 5.437 5.437 8.349
angles (deg): 71.00 71.00 60.00
Site moments in Bohr magnetons follow the coordinates.
Sites, in units of the cell vectors:
Cs 0.500 0.500 0.500  0.00
Fe 0.000 0.000 0.000  4.44
Cu 0.274 0.274 0.179  0.70
Cu 0.726 0.726 0.821  0.70
F 0.195 0.195 0.414  0.19
F 0.661 0.261 0.140  0.10
F 0.805 0.805 0.586  0.19
F 0.938 0.661 0.140  0.10
F 0.062 0.339 0.860  0.10
F 0.261 0.938 0.140  0.10
F 0.739 0.062 0.860  0.10
F 0.339 0.739 0.860  0.10